The following is a PBE-GGA calculation of crystalline Pm2PrPb at its relaxed geometry, from Alexandria via LeMat-Bulk.

## Properties
Formation enthalpy at 0 K   -140 meV/atom
V   31.32 Å³ per atom

Cell: 5.617 5.617 5.617 Å, 60.00 60.00 60.00°
Positions (direct):
Pb (0.500, 0.500, 0.500)
Pr (0.000, 0.000, 0.000)
Pm (0.250, 0.250, 0.250)
Pm (0.750, 0.750, 0.750)